Density functional theory data (PBE+U) for crystalline VInI2F at its relaxed geometry.

The structure in extended XYZ format:
```
5
Lattice="5.732 0.000 0.000 0.000 5.732 0.000 0.000 0.000 4.085" Properties=species:S:1:pos:R:3 pbc="T T T"
I 0.000 2.866 0.000
I 2.866 0.000 0.000
F 0.000 0.000 2.043
V 0.000 0.000 0.000
In 2.866 2.866 2.043
```

Properties
DFT total energy (eV for the cell shown): -20.2
SG: No. 123